Record 1
A PBEsol-optimized structure of LiTa3I. Source: Alexandria via LeMat-Bulk, functional meta-GGA SCAN.

Cell: 4.987 4.987 4.987 Å, 90.00 90.00 90.00°
Space group Pm-3m (No. 221)
Inequivalent atoms, fractional coordinates:
Li: 0.000 0.000 0.000
Ta: 0.000 0.500 0.500
I: 0.500 0.500 0.500

Uncorrected formation energy = 11.09 eV per formula unit
VASP energy = -227.79 eV per cell
Spin magnetization = 0.009 μB/cell
Density = 9.06 g/cm³


Record 2
A PBEsol-optimized structure of NaYH2Se. Source: Alexandria via LeMat-Bulk, functional meta-GGA SCAN.

Cell: 4.234 4.234 5.146 Å, 90.00 90.00 90.00°
Space group P4/mmm (No. 123)
Inequivalent atoms, fractional coordinates:
Na: 0.000 0.000 0.000
Y: 0.500 0.500 0.000
H: 0.000 0.500 0.500
Se: 0.000 0.000 0.500

VASP energy = -55.55 eV per cell
Spin magnetization = 0.000 μB/cell
Density = 3.47 g/cm³


Record 3
A PBEsol-optimized structure of ZrMn2Fe. Source: Alexandria via LeMat-Bulk, functional meta-GGA SCAN.

Cell: 2.706 3.986 5.074 Å, 90.00 102.72 90.00°
Space group P2/m (No. 10)
Inequivalent atoms, fractional coordinates:
Zr: 0.000 0.000 0.000
Mn: 0.286 0.500 0.703
Fe: 0.500 0.000 0.500

VASP energy = -84.63 eV per cell
Spin magnetization = 6.497 μB/cell
Density = 7.99 g/cm³


Record 4
A PBEsol-optimized structure of ZnCu2Mo. Source: Alexandria via LeMat-Bulk, functional meta-GGA SCAN.

Cell: 2.556 4.520 9.014 Å, 90.00 90.00 90.00°
Space group Imm2 (No. 44)
Inequivalent atoms, fractional coordinates:
Zn: 0.000 0.000 0.000
Cu: 0.000 0.000 0.471
Cu: 0.000 0.500 0.738
Mo: 0.000 0.500 0.232

VASP energy = -155.84 eV per cell
Spin magnetization = 0.000 μB/cell
Density = 9.20 g/cm³


Record 5
A PBEsol-optimized structure of BeIn2Cu. Source: Alexandria via LeMat-Bulk, functional meta-GGA SCAN.

Cell: 2.893 3.785 6.031 Å, 90.00 90.00 90.00°
Space group Pmmm (No. 47)
Inequivalent atoms, fractional coordinates:
Be: 0.000 0.000 0.000
In: 0.500 0.500 0.247
Cu: 0.000 0.000 0.500

VASP energy = -84.88 eV per cell
Spin magnetization = 0.000 μB/cell
Density = 7.60 g/cm³


Record 6
A PBEsol-optimized structure of Zn3Cu5. Source: Alexandria via LeMat-Bulk, functional meta-GGA SCAN.

Cell: 2.916 2.916 11.320 Å, 90.00 90.00 90.00°
Space group P4/mmm (No. 123)
Inequivalent atoms, fractional coordinates:
Zn: 0.000 0.000 0.000
Zn: 0.500 0.500 0.371
Cu: 0.000 0.000 0.247
Cu: 0.000 0.000 0.500
Cu: 0.500 0.500 0.125

Offset from the most stable computed form = 14 meV/atom
VASP energy = -117.08 eV per cell
Spin magnetization = 0.000 μB/cell
Density = 8.87 g/cm³


Record 7
A PBEsol-optimized structure of Tl2InP. Source: Alexandria via LeMat-Bulk, functional meta-GGA SCAN.

Cell: 4.568 4.568 9.353 Å, 90.00 90.00 90.00°
Space group I4/mmm (No. 139)
Inequivalent atoms, fractional coordinates:
Tl: 0.000 0.500 0.250
In: 0.000 0.000 0.000
P: 0.000 0.000 0.500

Offset from the most stable computed form = 170 meV/atom
VASP energy = -374.57 eV per cell
Spin magnetization = 0.000 μB/cell
Density = 9.44 g/cm³


Record 8
A PBEsol-optimized structure of MoPRh2. Source: Alexandria via LeMat-Bulk, functional meta-GGA SCAN.

Cell: 5.206 7.555 2.764 Å, 90.00 90.00 90.00°
Space group Cmmm (No. 65)
Inequivalent atoms, fractional coordinates:
Mo: 0.000 0.000 0.000
P: 0.000 0.500 0.000
Rh: 0.250 0.250 0.500

VASP energy = -225.86 eV per cell
Spin magnetization = 0.000 μB/cell
Density = 10.16 g/cm³


Record 9
A PBEsol-optimized structure of KLaY. Source: Alexandria via LeMat-Bulk, functional meta-GGA SCAN.

Cell: 8.246 8.246 8.246 Å, 90.00 90.00 90.00°
Space group F-43m (No. 216)
Inequivalent atoms, fractional coordinates:
K: 0.000 0.000 0.000
La: 0.000 0.000 0.500
Y: 0.250 0.250 0.250

VASP energy = -303.80 eV per cell
Spin magnetization = 14.115 μB/cell
Density = 3.16 g/cm³


Record 10
A PBEsol-optimized structure of Cs3B6H12S4Br. Source: Alexandria via LeMat-Bulk, functional meta-GGA SCAN.

Cell: 10.2490 10.2490 8.5462 Å, 90.00 90.00 120.00°
Space group P6_3mc (No. 186)
Inequivalent atoms, fractional coordinates:
Cs: 0.1595 0.3190 0.0000
B: 0.1334 0.5667 0.6657
B: 0.2337 0.4675 0.3722
H: 0.0051 0.5025 0.6139
H: 0.1035 0.4060 0.3268
H: 0.1377 0.5688 0.8086
S: 0.2294 0.4587 0.5951
S: 0.3333 0.6667 0.2869
Br: 0.0000 0.0000 0.2517

VASP energy = -547.07 eV per cell
Spin magnetization = 0.000 μB/cell
Density = 2.92 g/cm³


Record 11
A PBEsol-optimized structure of NbB3I. Source: Alexandria via LeMat-Bulk, functional meta-GGA SCAN.

Cell: 4.250 4.250 4.250 Å, 90.00 90.00 90.00°
Space group Pm-3m (No. 221)
Inequivalent atoms, fractional coordinates:
Nb: 0.000 0.000 0.000
B: 0.000 0.500 0.500
I: 0.500 0.500 0.500

Uncorrected formation energy = 14.00 eV per formula unit
Offset from the most stable computed form = 879 meV/atom
VASP energy = -78.16 eV per cell
Spin magnetization = 0.998 μB/cell
Density = 5.46 g/cm³


Record 12
A PBEsol-optimized structure of MoSeN2. Source: Alexandria via LeMat-Bulk, functional meta-GGA SCAN.

Cell: 8.410 8.410 8.410 Å, 90.00 90.00 90.00°
Space group Fd-3m (No. 227, origin choice 2)
Inequivalent atoms, fractional coordinates:
Mo: 0.125 0.125 0.125
Se: 0.125 0.125 0.625
N: 0.000 0.000 0.000

Uncorrected formation energy = 1.46 eV per formula unit
VASP energy = -576.71 eV per cell
Spin magnetization = 15.935 μB/cell
Density = 4.53 g/cm³


Question: Among the records above, which one has the highest spin magnetization?
Answer: MoSeN2


Question: Number 5 is which compound?
Answer: BeIn2Cu